Here is a relaxed structure of Cd2NiSb from Alexandria. Energies are from GGA-PBE.

* raw total energy: -2.742 eV/atom
* symmetry: P4/mmm (123)

```
Cd2NiSb
1.0
4.180 0.000 0.000
0.000 4.180 0.000
0.000 0.000 4.571
Cd Ni Sb
2 1 1
Cartesian
0.000 2.090 0.000 Cd
2.090 0.000 0.000 Cd
0.000 0.000 2.286 Ni
2.090 2.090 2.286 Sb
```